[1]
First-principles (GGA-PBE) data for crystalline La3Pm4Sm4 at its relaxed geometry, as listed in the Alexandria database.

Summary:
calculated total energy: -4.656 eV per atom

POSCAR file:
```
La3Pm4Sm4
1.0
3.528 0.000 0.913
0.083 10.225 6.954
-1.247 2.229 12.099
La Pm Sm
3 4 4
direct
0.891 0.109 0.109 La
0.109 0.891 0.891 La
0.000 0.500 0.500 La
0.647 0.176 0.531 Pm
0.353 0.469 0.824 Pm
0.353 0.824 0.469 Pm
0.647 0.531 0.176 Pm
0.741 0.759 0.759 Sm
0.259 0.241 0.241 Sm
0.500 0.815 0.185 Sm
0.500 0.185 0.815 Sm
```

***

[2]
First-principles (GGA-PBE) data for crystalline La4Pm2Sm at its relaxed geometry, as listed in the Alexandria database.

Summary:
calculated total energy: -4.828 eV per atom

POSCAR file:
```
La4Pm2Sm
1.0
-4.014 8.886 -0.865
-4.901 -7.168 4.491
4.340 0.874 4.633
Pm Sm La
4 2 8
direct
0.695 0.983 0.216 Pm
0.481 0.409 0.711 Pm
0.056 0.268 0.714 Pm
0.552 0.268 0.215 Pm
0.341 0.695 0.714 Sm
0.124 0.126 0.215 Sm
0.914 0.554 0.714 La
0.198 0.985 0.716 La
0.981 0.408 0.212 La
0.266 0.840 0.216 La
0.627 0.125 0.715 La
0.408 0.553 0.213 La
0.837 0.696 0.214 La
0.769 0.840 0.716 La
```

***

[3]
First-principles (GGA-PBE) data for crystalline La3Pm5Sm4 at its relaxed geometry, as listed in the Alexandria database.

Summary:
calculated total energy: -4.767 eV per atom

POSCAR file:
```
La3Pm5Sm4
1.0
-2.518 6.270 2.828
-5.664 -8.060 -6.134
4.167 5.020 11.516
La Pm Sm
3 5 4
direct
0.584 0.167 0.334 La
0.000 0.000 0.500 La
0.416 0.833 0.666 La
0.333 0.668 0.834 Pm
0.500 0.000 0.500 Pm
0.749 0.502 0.002 Pm
0.251 0.498 0.998 Pm
0.667 0.332 0.166 Pm
0.917 0.835 0.669 Sm
0.833 0.666 0.833 Sm
0.167 0.334 0.167 Sm
0.083 0.165 0.331 Sm
```

***

[4]
First-principles (GGA-PBE) data for crystalline LaPm2Sm6 at its relaxed geometry, as listed in the Alexandria database.

Summary:
calculated total energy: -4.558 eV per atom

POSCAR file:
```
LaPm2Sm6
1.0
-1.209 5.790 -1.828
-7.384 -1.714 -0.543
-4.570 0.939 5.999
La Pm Sm
1 2 6
direct
0.000 0.000 0.000 La
0.782 0.667 0.667 Pm
0.218 0.333 0.333 Pm
0.291 0.372 0.814 Sm
0.292 0.814 0.814 Sm
0.291 0.814 0.372 Sm
0.709 0.628 0.186 Sm
0.708 0.186 0.186 Sm
0.709 0.186 0.628 Sm
```

***

[5]
First-principles (GGA-PBE) data for crystalline La2Pm4Sm3 at its relaxed geometry, as listed in the Alexandria database.

Summary:
calculated total energy: -4.623 eV per atom

POSCAR file:
```
La2Pm4Sm3
1.0
8.927 -0.206 0.000
-3.109 8.175 0.000
0.000 0.000 8.794
La Pm Sm
4 8 6
direct
0.550 0.174 0.350 La
0.950 0.826 0.850 La
0.450 0.826 0.650 La
0.050 0.174 0.150 La
0.864 0.080 0.534 Pm
0.636 0.920 0.034 Pm
0.136 0.920 0.466 Pm
0.364 0.080 0.966 Pm
0.852 0.474 0.137 Pm
0.648 0.526 0.637 Pm
0.148 0.526 0.863 Pm
0.352 0.474 0.363 Pm
0.000 0.500 0.500 Sm
0.500 0.500 0.000 Sm
0.750 0.248 0.820 Sm
0.750 0.752 0.320 Sm
0.250 0.752 0.180 Sm
0.250 0.248 0.680 Sm
```

***

[6]
First-principles (GGA-PBE) data for crystalline La2PmSm at its relaxed geometry, as listed in the Alexandria database.

Summary:
calculated total energy: -4.814 eV per atom

POSCAR file:
```
La2PmSm
1.0
3.709 0.000 0.000
0.000 3.709 0.000
0.000 0.000 10.322
La Sm Pm
2 1 1
direct
0.000 0.000 0.750 La
0.000 0.000 0.250 La
0.500 0.500 0.500 Sm
0.500 0.500 0.000 Pm
```